Entry 1:
Dy5Er12Pu | PBE | optimized geometry

For the magnetization, the calculation gives 6.29 μB per formula unit. Its energy of formation from the pure elements is 0.1442 eV/atom. The calculation puts the calculated volume at 31.21 Å³ per atom.

Geometry as CIF:
```
data_Dy5Er12Pu
_cell_length_a 11.4103
_cell_length_b 10.3111
_cell_length_c 10.9255
_cell_angle_alpha 90.00
_cell_angle_beta 119.06
_cell_angle_gamma 90.00
_symmetry_space_group_name_H-M 'C 1 2/m 1'
_symmetry_Int_Tables_number 12
_symmetry_space_group_name_Hall '-C 2y'
loop_
_atom_site_label
_atom_site_type_symbol
_atom_site_fract_x
_atom_site_fract_y
_atom_site_fract_z
Dy1 Dy 0.0000 0.0000 0.0000
Dy2 Dy 0.0000 0.1685 0.5000
Dy3 Dy 0.0000 0.3332 0.0000
Er1 Er 0.1588 0.3354 0.3483
Er2 Er 0.1636 0.0000 0.3485
Er3 Er 0.1913 0.0000 0.8281
Er4 Er 0.1905 0.3344 0.8249
Pu1 Pu 0.0000 0.5000 0.5000
```

Entry 2:
LaTbI6 | PBE | optimized geometry

For the magnetization, the calculation gives 0.00 μB per formula unit. The calculation puts the calculated volume at 51.11 Å³ per atom. The distance to the lowest polymorph of the same formula comes out at 0.0000 eV/atom. The value obtained for the uncorrected formation energy is -137.1 kJ/mol of atoms.

Geometry as CIF:
```
data_LaTbI6
_cell_length_a 7.6841
_cell_length_b 14.5449
_cell_length_c 7.6771
_cell_angle_alpha 90.00
_cell_angle_beta 107.62
_cell_angle_gamma 90.00
_symmetry_space_group_name_H-M 'C 1 2/m 1'
_symmetry_Int_Tables_number 12
_symmetry_space_group_name_Hall '-C 2y'
loop_
_atom_site_label
_atom_site_type_symbol
_atom_site_fract_x
_atom_site_fract_y
_atom_site_fract_z
La1 La 0.0000 0.0000 0.0000
Tb1 Tb 0.0000 0.5000 0.5000
I1 I 0.2386 0.3523 0.7411
I2 I 0.2470 0.5000 0.2559
```

What is the formula in the first record? Dy5Er12Pu

Please write out number 2 again, unchanged.
LaTbI6 | PBE | optimized geometry

For the magnetization, the calculation gives 0.00 μB per formula unit. The calculation puts the calculated volume at 51.11 Å³ per atom. The distance to the lowest polymorph of the same formula comes out at 0.0000 eV/atom. The value obtained for the uncorrected formation energy is -137.1 kJ/mol of atoms.

Geometry as CIF:
```
data_LaTbI6
_cell_length_a 7.6841
_cell_length_b 14.5449
_cell_length_c 7.6771
_cell_angle_alpha 90.00
_cell_angle_beta 107.62
_cell_angle_gamma 90.00
_symmetry_space_group_name_H-M 'C 1 2/m 1'
_symmetry_Int_Tables_number 12
_symmetry_space_group_name_Hall '-C 2y'
loop_
_atom_site_label
_atom_site_type_symbol
_atom_site_fract_x
_atom_site_fract_y
_atom_site_fract_z
La1 La 0.0000 0.0000 0.0000
Tb1 Tb 0.0000 0.5000 0.5000
I1 I 0.2386 0.3523 0.7411
I2 I 0.2470 0.5000 0.2559
```

What is the formula in the first record? Dy5Er12Pu

What is the calculated volume in the first record? 31.21 Å³ per atom